A relaxed structure of LiDyTl2Pd4, computed with GGA-PBE.

Cell and atoms, written as extended XYZ:
```
8
Lattice="4.717 0.000 0.000 2.358 4.085 0.000 2.358 1.362 7.686" Properties=species:S:1:pos:R:3 pbc="T T T"
Pd 7.075 4.085 2.862
Dy 0.000 0.000 0.000
Pd 4.717 2.723 6.561
Pd 2.358 1.362 4.824
Tl 2.358 1.362 2.003
Pd 4.717 2.723 1.124
Li 4.717 2.723 3.843
Tl 7.075 4.085 5.683
```

DFT total energy   -36.0 eV/cell
M_tot   0.000 μB/atom
Space-group type   R-3m